Record 1
VASP calculation (PBE-GGA) on a geometry-optimized YTeRu2 structure.

## Properties
formation energy without anion corrections	-0.083	eV/atom
total magnetic moment	0.0	μB per formula unit
calculated total energy	-7.122	eV per atom
theoretical density	9.20	g/cm3

Cell lengths 3.4000, 3.4000, 6.5338 Å; angles 90.00, 90.00, 90.00 degrees
Atoms (fractional coordinates):
Y 0.0000 0.0000 0.0000
Te 0.0000 0.0000 0.5000
Ru 0.5000 0.5000 0.2670
Ru 0.5000 0.5000 0.7330

---

Record 2
VASP calculation (PBE-GGA) on a geometry-optimized TmPa2Ge structure.

## Properties
total magnetic moment	0.0	μB per formula unit
calculated total energy	-7.249	eV per atom
theoretical density	12.69	g/cm3
ΔE to the lowest computed polymorph	0	meV per atom

Cell lengths 4.3031, 4.3031, 4.9727 Å; angles 90.00, 90.00, 90.00 degrees
Atoms (fractional coordinates):
Tm 0.0000 0.0000 0.0000
Pa 0.0000 0.5000 0.5000
Pa 0.5000 0.0000 0.5000
Ge 0.5000 0.5000 0.0000

---

Record 3
VASP calculation (PBE-GGA) on a geometry-optimized AlTl2Sb structure.

## Properties
formation energy without anion corrections	0.371	eV/atom
total magnetic moment	0.0	μB per formula unit
calculated total energy	-2.779	eV per atom
theoretical density	6.49	g/cm3
ΔE to the lowest computed polymorph	292	meV per atom

Cell lengths 7.7653, 7.7653, 7.7653 Å; angles 127.59, 127.59, 77.28 degrees
Atoms (fractional coordinates):
Al 0.0000 0.0000 0.0000
Al 0.7500 0.2500 0.5000
Tl 0.1046 0.6250 0.9796
Tl 0.3750 0.3546 0.4796
Tl 0.6454 0.1250 0.0204
Tl 0.8750 0.8954 0.5204
Sb 0.2500 0.7500 0.5000
Sb 0.5000 0.5000 0.0000

---

Record 4
VASP calculation (PBE-GGA) on a geometry-optimized InW structure.

## Properties
total magnetic moment	0.0	μB per formula unit
calculated total energy	-7.150	eV per atom
theoretical density	13.42	g/cm3
ΔE to the lowest computed polymorph	294	meV per atom

Cell lengths 2.8945, 2.8945, 4.6923 Å; angles 90.00, 90.00, 109.90 degrees
Atoms (fractional coordinates):
In 0.0000 0.0000 0.0000
W 0.5000 0.5000 0.5000

---

Record 5
VASP calculation (PBE-GGA) on a geometry-optimized NaScGe4 structure.

## Properties
total magnetic moment	0.0	μB per formula unit
calculated total energy	-4.494	eV per atom
theoretical density	4.96	g/cm3

Cell lengths 5.5377, 5.5377, 5.5377 Å; angles 60.00, 60.00, 60.00 degrees
Atoms (fractional coordinates):
Na 0.0000 0.0000 0.0000
Sc 0.2500 0.2500 0.2500
Ge 0.1265 0.6245 0.6245
Ge 0.6245 0.1265 0.6245
Ge 0.6245 0.6245 0.1265
Ge 0.6245 0.6245 0.6245

---

Record 6
VASP calculation (PBE-GGA) on a geometry-optimized RbCdInBi structure.

## Properties
total magnetic moment	0.0	μB per formula unit
calculated total energy	-2.163	eV per atom
theoretical density	6.50	g/cm3
ΔE to the lowest computed polymorph	64	meV per atom

Cell lengths 5.7342, 5.7342, 5.7342 Å; angles 60.00, 60.00, 60.00 degrees
Atoms (fractional coordinates):
Rb 0.0000 0.0000 0.0000
Cd 0.2500 0.2500 0.2500
In 0.7500 0.7500 0.7500
Bi 0.5000 0.5000 0.5000

---

Record 7
VASP calculation (PBE-GGA) on a geometry-optimized KSc2Ir structure.

## Properties
total magnetic moment	0.0	μB per formula unit
calculated total energy	-5.777	eV per atom
theoretical density	4.37	g/cm3
ΔE to the lowest computed polymorph	149	meV per atom

Cell lengths 9.1728, 9.1728, 9.1728 Å; angles 159.01, 153.76, 33.84 degrees
Atoms (fractional coordinates):
K 0.0000 0.0000 0.0000
Sc 0.3271 0.8271 0.5000
Sc 0.6876 0.6876 0.0000
Ir 0.8002 0.3002 0.5000

---

Record 8
VASP calculation (PBE-GGA) on a geometry-optimized Ta2MnMo structure.

## Properties
total magnetic moment	0.0	μB per formula unit
calculated total energy	-11.022	eV per atom
theoretical density	13.49	g/cm3

Cell lengths 5.2568, 5.2568, 5.2568 Å; angles 144.97, 130.06, 62.45 degrees
Atoms (fractional coordinates):
Ta 0.0000 0.0000 0.0000
Ta 0.7377 0.2377 0.5000
Mn 0.2446 0.7446 0.5000
Mo 0.4855 0.4855 0.0000